(1)
Y2HoInN, optimized geometry, DFT PBE; raw formation energy = -5.1 eV/f.u.; raw total energy = -6.73 eV/atom; SG = P4/mmm
1.0
4.7951 0.0000 0.0000
0.0000 4.8304 0.0000
0.0000 0.0000 4.8304
Y Ho In N
2 1 1 1
direct
0.0000 0.0000 0.5000
0.0000 0.5000 0.0000
0.5000 0.0000 0.0000
0.5000 0.5000 0.5000
0.0000 0.0000 0.0000



(2)
Hg2Bi2Pt, optimized geometry, DFT PBE; offset from the most stable computed form = 119 meV per atom; raw total energy = -2.68 eV/atom; DFT formation energy = 205 meV/atom; SG = P4/mbm
1.0
-3.9081 0.0293 -6.0995
1.9275 -6.8669 -1.2679
-3.8789 -1.5463 2.4779
Bi Pt Hg
4 2 4
direct
0.1630 0.6630 0.5000
0.6630 0.8370 0.5000
0.8370 0.3370 0.5000
0.3370 0.1630 0.5000
0.0000 0.0000 0.0000
0.5000 0.5000 0.0000
0.3507 0.8507 0.0000
0.8507 0.6493 0.0000
0.6493 0.1493 0.0000
0.1493 0.3507 0.0000



(3)
KTeSeN2, optimized geometry, DFT PBE; offset from the most stable computed form = 1060 meV per atom; raw formation energy = 10.1 eV/f.u.; raw total energy = -2.85 eV/atom; SG = P4/mmm
1.0
4.8015 0.0000 0.0000
0.0000 4.8015 0.0000
0.0000 0.0000 6.4674
K Te Se N
1 1 1 2
direct
0.0000 0.0000 0.0000
0.5000 0.5000 0.5000
0.0000 0.0000 0.5000
0.0000 0.5000 0.0000
0.5000 0.0000 0.0000



(4)
K2HgSb, optimized geometry, DFT PBE; offset from the most stable computed form = 0 meV per atom; raw formation energy = -1.3 eV/f.u.; raw total energy = -1.99 eV/atom; SG = P2_1/m
1.0
4.9436 0.0000 0.0000
0.0000 6.7778 -0.2535
0.0000 -3.7186 9.7271
K Hg Sb
4 2 2
direct
0.7500 0.2157 0.4261
0.2500 0.7843 0.5739
0.2500 0.7892 0.0714
0.7500 0.2108 0.9286
0.7500 0.6264 0.2875
0.2500 0.3736 0.7125
0.2500 0.3759 0.2158
0.7500 0.6241 0.7842



(5)
NbGeI2O, optimized geometry, DFT PBE; offset from the most stable computed form = 635 meV per atom; raw formation energy = 1.4 eV/f.u.; raw total energy = -4.27 eV/atom; SG = P4/mmm
1.0
5.7990 0.0000 0.0000
0.0000 5.7990 0.0000
0.0000 0.0000 3.7421
I Nb Ge O
2 1 1 1
direct
0.0000 0.5000 0.0000
0.5000 0.0000 0.0000
0.5000 0.5000 0.5000
0.0000 0.0000 0.0000
0.0000 0.0000 0.5000



(6)
CoSe2, optimized geometry, DFT PBE; raw formation energy = -0.9 eV/f.u.; raw total energy = -4.99 eV/atom; SG = Pnnm
1.0
3.6420 0.0000 0.0000
0.0000 4.8893 0.0000
0.0000 0.0000 5.8282
Co Se
2 4
direct
0.0000 0.0000 0.0000
0.5000 0.5000 0.5000
0.0000 0.2175 0.6308
0.0000 0.7825 0.3692
0.5000 0.2825 0.1308
0.5000 0.7175 0.8692



(7)
La4SbAs2, optimized geometry, DFT PBE; raw formation energy = -8.8 eV/f.u.; raw total energy = -5.99 eV/atom; SG = Cmcm
1.0
4.4025 0.0000 0.0000
-2.2012 7.1477 0.0000
0.0000 0.0000 14.5062
Sb As La
2 4 8
direct
0.6062 0.2124 0.7500
0.3938 0.7876 0.2500
0.1366 0.2732 0.4390
0.8634 0.7268 0.9390
0.1366 0.2732 0.0610
0.8634 0.7268 0.5610
0.7698 0.5395 0.1198
0.7698 0.5395 0.3802
0.2302 0.4605 0.8802
0.2302 0.4605 0.6198
0.9433 0.8866 0.7500
0.0567 0.1134 0.2500
0.5000 0.0000 0.0000
0.5000 0.0000 0.5000



(8)
PmMgCu5, optimized geometry, DFT PBE; raw total energy = -4.02 eV/atom; DFT formation energy = -192 meV/atom; SG = Pnma
1.0
5.0967 0.0000 0.0000
0.0000 8.3011 0.0000
0.0000 0.0000 10.5293
Pm Mg Cu
4 4 20
direct
0.2500 0.2467 0.9404
0.7500 0.2533 0.4404
0.2500 0.7467 0.5596
0.7500 0.7533 0.0596
0.2500 0.8622 0.8617
0.7500 0.6378 0.3617
0.2500 0.3622 0.6383
0.7500 0.1378 0.1383
0.2500 0.5867 0.0164
0.7500 0.9133 0.5164
0.2500 0.0867 0.4836
0.7500 0.4133 0.9836
0.7500 0.3150 0.7560
0.2500 0.1850 0.2560
0.7500 0.8150 0.7440
0.2500 0.6850 0.2440
0.2500 0.9467 0.1070
0.7500 0.5533 0.6070
0.2500 0.4467 0.3930
0.7500 0.0533 0.8930
0.9967 0.4321 0.1874
0.0033 0.0679 0.6874
0.5033 0.9321 0.3126
0.4967 0.5679 0.8126
0.0033 0.5679 0.8126
0.9967 0.9321 0.3126
0.4967 0.0679 0.6874
0.5033 0.4321 0.1874



(9)
TlAu2O, optimized geometry, DFT PBE; offset from the most stable computed form = 0 meV per atom; raw formation energy = 0.5 eV/f.u.; raw total energy = -3.35 eV/atom; SG = I-42d
1.0
5.3965 0.0000 0.0000
0.0000 5.3965 0.0000
2.6983 2.6983 6.7184
Tl Au O
2 4 2
direct
0.0000 0.0000 0.0000
0.7500 0.2500 0.5000
0.4518 0.1250 0.2500
0.2982 0.6250 0.2500
0.3750 0.5482 0.7500
0.8750 0.7018 0.7500
0.5000 0.5000 0.0000
0.2500 0.7500 0.5000



(10)
AcTb8Sm4, optimized geometry, DFT PBE; raw total energy = -4.52 eV/atom; DFT formation energy = 99 meV/atom; SG = C2/m
1.0
6.0876 0.6667 -1.1964
-3.1835 4.9977 -1.9553
1.8453 1.5679 12.5225
Ac Tb Sm
1 8 4
direct
0.0000 0.5000 0.5000
0.8248 0.9341 0.2903
0.3562 0.4655 0.2903
0.8100 0.3473 0.1573
0.3504 0.0852 0.4356
0.6496 0.9148 0.5644
0.1900 0.6527 0.8427
0.6438 0.5345 0.7097
0.1752 0.0659 0.7097
0.2597 0.2597 0.0000
0.7403 0.7403 0.0000
0.2813 0.8630 0.1443
0.7187 0.1370 0.8557



(11)
TbNdCdBi, optimized geometry, DFT PBE; raw total energy = -4.00 eV/atom; DFT formation energy = -456 meV/atom; SG = F-43m
1.0
-4.5320 1.4919 -2.6688
-0.2099 -0.3710 -5.4503
-3.1536 -3.7896 -2.3624
Nd Tb Bi Cd
1 1 1 1
direct
0.0000 0.0000 0.0000
0.5000 0.5000 0.5000
0.2500 0.2500 0.2500
0.7500 0.7500 0.7500



(12)
Zn2ReSe, optimized geometry, DFT PBE; offset from the most stable computed form = 665 meV per atom; raw formation energy = 3.4 eV/f.u.; raw total energy = -3.76 eV/atom; SG = Fm-3m
1.0
3.1867 -1.9204 2.5609
-0.9491 -3.7258 2.3703
1.7874 -3.9661 -1.2151
Re Zn Se
1 2 1
direct
0.5000 0.5000 0.5000
0.2500 0.2500 0.2500
0.7500 0.7500 0.7500
0.0000 0.0000 0.0000